1.
An optimized crystal structure of TlAs2Os. Source: Alexandria, functional GGA-PBE.

Symmetry: I-42d (122)
Crystal system: tetragonal
Offset from the most stable computed form, eV/atom: 0.157
N(E_F), states/eV/cell: 5.58
Calculated volume, Å³ per atom: 28.254
E_form, eV/atom: 0.294
Uncorrected energy, hartree per atom: -0.1995

a b c (Å): 7.141 7.141 7.141
angles (deg): 126.80 126.80 78.57
Sites, in units of the cell vectors:
Tl 0.000 0.000 0.000
Tl 0.750 0.250 0.500
As 0.215 0.625 0.090
As 0.375 0.465 0.590
As 0.535 0.125 0.910
As 0.875 0.785 0.410
Os 0.250 0.750 0.500
Os 0.500 0.500 0.000

2.
An optimized crystal structure of SrTlP2Ir. Source: Alexandria, functional GGA-PBE.

Symmetry: P4/mmm (123)
Crystal system: tetragonal
N(E_F), states/eV/cell: 6.41
Calculated volume, Å³ per atom: 33.011
E_form, eV/atom: 1.545
Uncorrected energy, hartree per atom: -0.1176

a b c (Å): 5.510 5.510 5.436
angles (deg): 90.00 90.00 90.00
Sites, in units of the cell vectors:
Sr 0.000 0.000 0.000
Tl 0.500 0.500 0.500
P 0.000 0.500 0.000
P 0.500 0.000 0.000
Ir 0.000 0.000 0.500

3.
An optimized crystal structure of AcTlSn2Se4. Source: Alexandria, functional GGA-PBE.

Symmetry: P2/m (10)
Crystal system: monoclinic
N(E_F), states/eV/cell: 0.02
Calculated volume, Å³ per atom: 30.751
Formation energy (no corrections), eV per formula unit: -7.0
Uncorrected energy, hartree per atom: -0.1628

a b c (Å): 7.602 4.435 7.705
angles (deg): 90.00 108.73 90.00
Sites, in units of the cell vectors:
Ac 0.000 0.000 0.000
Tl 0.500 0.500 0.000
Sn 0.000 0.500 0.500
Sn 0.500 0.000 0.500
Se 0.231 0.000 0.733
Se 0.242 0.500 0.258
Se 0.758 0.500 0.742
Se 0.769 0.000 0.267

4.
An optimized crystal structure of KCd9In3. Source: Alexandria, functional GGA-PBE.

Symmetry: C2/m (12)
Crystal system: monoclinic
N(E_F), states/eV/cell: 5.21
Calculated volume, Å³ per atom: 25.939
E_form, eV/atom: -0.004
Uncorrected energy, hartree per atom: -0.0497

a b c (Å): 7.910 7.910 7.951
angles (deg): 97.97 97.97 133.60
Sites, in units of the cell vectors:
K 0.000 0.000 0.000
Cd 0.008 0.362 0.360
Cd 0.283 0.501 0.778
Cd 0.362 0.008 0.360
Cd 0.499 0.717 0.222
Cd 0.500 0.500 0.500
Cd 0.501 0.283 0.778
Cd 0.638 0.992 0.640
Cd 0.717 0.499 0.222
Cd 0.992 0.638 0.640
In 0.000 0.000 0.500
In 0.000 0.500 0.000
In 0.500 0.000 0.000

| no. | M_tot (μB per atom) |
| --- | --- |
| 1 | 0.000 |
| 2 | 0.199 |
| 3 | 0.000 |
| 4 | 0.000 |